YZn2Br | Alexandria via LeMat-Bulk | GGA-PBE | relaxed; spin magnetization = 0.00 μB per formula unit; energy above the most stable polymorph in this dataset = 3.16 kcal/mol of atoms; E_form (uncorrected) = -0.325 eV per atom; calculated total energy = -12.0 eV for the cell shown
1.0
5.4243 0.0272 -0.0041
-2.4929 4.8176 -0.0041
0.0016 0.0026 3.5837
Br Y Zn
1 1 2
direct
0.5000 0.0000 0.5000 Br
0.0000 0.5000 0.5000 Y
0.0000 0.0000 0.0000 Zn
0.5000 0.5000 0.0000 Zn

ScPPtN2 | Alexandria via LeMat-Bulk | GGA-PBE | relaxed; spin magnetization = 0.00 μB per formula unit; E_form (uncorrected) = 1.133 eV per atom; calculated total energy = -28.8 eV for the cell shown
1.0
3.8568 0.0000 0.0000
0.0000 5.9082 0.0000
0.0000 0.0000 3.8568
Sc P Pt N
1 1 1 2
direct
0.0000 0.0000 0.0000 Sc
0.5000 0.5000 0.5000 P
0.0000 0.5000 0.0000 Pt
0.0000 0.0000 0.5000 N
0.5000 0.0000 0.0000 N

CsTl2Rh | Alexandria via LeMat-Bulk | GGA-PBE | relaxed; spin magnetization = 0.00 μB per formula unit; calculated total energy = -24.9 eV for the cell shown
1.0
-4.1485 7.2182 -0.7029
-7.2467 1.0621 4.0204
-0.4394 5.2170 6.5112
Cs Tl Rh
2 4 2
direct
0.5000 0.5000 0.5000 Cs
0.7500 0.7500 0.7500 Cs
0.1250 0.1250 0.6250 Tl
0.1250 0.1250 0.1250 Tl
0.6250 0.1250 0.1250 Tl
0.1250 0.6250 0.1250 Tl
0.2500 0.2500 0.2500 Rh
0.0000 0.0000 0.0000 Rh

LiCr3N | Alexandria via LeMat-Bulk | GGA-PBE | relaxed; spin magnetization = 0.01 μB per formula unit; energy above the most stable polymorph in this dataset = 53.30 kcal/mol of atoms; E_form (uncorrected) = 2.329 eV per atom; calculated total energy = -27.5 eV for the cell shown
1.0
3.8673 0.0000 0.0000
0.0000 3.8673 0.0000
0.0000 0.0000 3.8673
Cr Li N
3 1 1
direct
0.0000 0.5000 0.0000 Cr
0.0000 0.0000 0.5000 Cr
0.5000 0.0000 0.0000 Cr
0.0000 0.0000 0.0000 Li
0.5000 0.5000 0.5000 N

Sm4Br | Alexandria via LeMat-Bulk | GGA-PBE | relaxed; spin magnetization = 0.00 μB per formula unit; E_form (uncorrected) = -0.254 eV per atom; calculated total energy = -21.8 eV for the cell shown
1.0
5.5667 0.0000 0.0000
0.0000 5.5667 0.0000
0.0000 0.0000 5.5667
Sm Br
4 1
direct
0.0000 0.0000 0.0000 Sm
0.5000 0.0000 0.5000 Sm
0.0000 0.5000 0.5000 Sm
0.5000 0.5000 0.0000 Sm
0.5000 0.5000 0.5000 Br

Dy3YHg12 | Alexandria via LeMat-Bulk | GGA-PBE | relaxed; spin magnetization = 0.00 μB per formula unit; calculated total energy = -29.0 eV for the cell shown
1.0
-0.1129 3.2115 -3.1747
-2.0373 -2.8704 -2.8312
-17.1479 5.7912 6.4680
Dy Y Hg
3 1 12
direct
0.0000 0.0000 0.2500 Dy
0.0000 0.0000 0.5000 Dy
0.0000 0.0000 0.7500 Dy
0.0000 0.0000 0.0000 Y
0.5000 0.5000 0.0000 Hg
0.5000 0.5000 0.2501 Hg
0.5000 0.5000 0.5000 Hg
0.5000 0.5000 0.7499 Hg
0.5000 0.0000 0.1254 Hg
0.5000 0.0000 0.3751 Hg
0.5000 0.0000 0.6249 Hg
0.5000 0.0000 0.8746 Hg
0.0000 0.5000 0.1254 Hg
0.0000 0.5000 0.3751 Hg
0.0000 0.5000 0.6249 Hg
0.0000 0.5000 0.8746 Hg

Zr4SnGe | Alexandria via LeMat-Bulk | GGA-PBE | relaxed; spin magnetization = 0.00 μB per formula unit; energy above the most stable polymorph in this dataset = 1.49 kcal/mol of atoms; calculated total energy = -91.8 eV for the cell shown
1.0
-1.2824 2.1169 5.0389
-4.3139 -6.4392 -1.4907
7.2623 -1.4431 0.8762
Zr Sn Ge
8 2 2
direct
0.0560 0.2021 0.8132 Zr
0.7738 0.7176 0.6280 Zr
0.2572 0.6111 0.8132 Zr
0.3542 0.9104 0.6280 Zr
0.6458 0.0896 0.3720 Zr
0.7428 0.3889 0.1868 Zr
0.2262 0.2824 0.3720 Zr
0.9440 0.7979 0.1868 Zr
0.3639 0.6139 0.2278 Sn
0.6361 0.3861 0.7722 Sn
0.2525 0.0025 0.0049 Ge
0.7475 0.9975 0.9951 Ge

Tb12PmTm2 | Alexandria via LeMat-Bulk | GGA-PBE | relaxed; spin magnetization = 0.00 μB per formula unit; calculated total energy = -135.2 eV for the cell shown
1.0
6.4394 -1.4431 0.3884
-1.4431 6.4394 0.3884
1.8478 1.8478 24.8640
Tb Pm Tm
24 2 4
direct
0.4148 0.3909 0.7979 Tb
0.8909 0.9148 0.7979 Tb
0.5564 0.5576 0.9256 Tb
0.1088 0.6088 0.8555 Tb
0.0154 0.9863 0.3294 Tb
0.3912 0.8912 0.1445 Tb
0.8080 0.3080 0.5891 Tb
0.4863 0.5154 0.3294 Tb
0.0576 0.0564 0.9256 Tb
0.9436 0.9424 0.0744 Tb
0.3259 0.3437 0.5553 Tb
0.6920 0.1920 0.4109 Tb
0.0137 0.9846 0.6706 Tb
0.1741 0.1563 0.4447 Tb
0.4424 0.4436 0.0744 Tb
0.6563 0.6741 0.4447 Tb
0.8437 0.8259 0.5553 Tb
0.0852 0.1091 0.2021 Tb
0.3432 0.8432 0.5667 Tb
0.4846 0.5137 0.6706 Tb
0.6001 0.1001 0.8685 Tb
0.6091 0.5852 0.2021 Tb
0.1568 0.6568 0.4333 Tb
0.8999 0.3999 0.1315 Tb
0.4963 0.9963 0.0054 Pm
0.0037 0.5037 0.9946 Pm
0.5554 0.0554 0.2711 Tm
0.0362 0.5362 0.2702 Tm
0.9446 0.4446 0.7289 Tm
0.4638 0.9638 0.7298 Tm